Compound: MnTc
Source: Alexandria via LeMat-Bulk
Functional: PBE-GGA
Structure: relaxed

Spin magnetization (μB per formula unit): 0.0
SG: I4/mmm
Formation energy from the elements (meV per atom): 323

Geometry as POSCAR:
```
MnTc
1.0
8.107 0.000 0.000
0.000 8.107 0.000
0.000 0.000 3.286
Mn Tc
8 8
Cartesian
5.254 0.000 0.000
2.853 0.000 0.000
0.000 2.853 0.000
0.000 5.254 0.000
1.200 4.053 1.643
6.906 4.053 1.643
4.053 6.906 1.643
4.053 1.200 1.643
5.346 5.346 0.000
5.346 2.760 0.000
2.760 5.346 0.000
2.760 2.760 0.000
1.293 1.293 1.643
1.293 6.814 1.643
6.814 1.293 1.643
6.814 6.814 1.643
```

=====

Compound: MnTc7
Source: Alexandria via LeMat-Bulk
Functional: PBE-GGA
Structure: relaxed

Spin magnetization (μB per formula unit): 1.4
SG: Fm-3m
Formation energy from the elements (meV per atom): 89

Geometry as POSCAR:
```
MnTc7
1.0
0.483 -5.156 -1.716
-0.345 -4.108 3.573
-4.356 -3.284 -0.031
Mn Tc
1 7
Cartesian
0.000 0.000 0.000
-1.937 -4.220 -0.873
0.069 -4.632 0.929
-2.351 -3.696 1.771
0.241 -2.578 -0.858
-2.178 -1.642 -0.016
-0.173 -2.054 1.787
-2.109 -6.273 0.913
```

=====

Compound: MnTc
Source: Alexandria via LeMat-Bulk
Functional: PBE-GGA
Structure: relaxed

Spin magnetization (μB per formula unit): 2.1
SG: Cmmm
Formation energy from the elements (meV per atom): 123

Geometry as POSCAR:
```
MnTc
1.0
-0.931 -2.400 -0.403
2.567 -0.174 -0.416
0.579 -0.887 3.940
Mn Tc
1 1
Cartesian
0.000 0.000 0.000
1.107 -1.731 1.560
```

=====

Compound: MnTc
Source: Alexandria via LeMat-Bulk
Functional: PBE-GGA
Structure: relaxed

Spin magnetization (μB per formula unit): 2.2
SG: Fd-3m
Formation energy from the elements (meV per atom): 135

Geometry as POSCAR:
```
MnTc
1.0
4.230 0.000 0.000
2.115 3.663 0.000
2.115 1.221 3.454
Mn Tc
2 2
Cartesian
0.000 0.000 0.000
2.115 1.221 0.863
6.345 3.663 2.590
4.230 2.442 1.727
```